The following is a PBE calculation of a relaxed CsAcBr3 crystal, from Alexandria via LeMat-Bulk.

The structure belongs to space group Pm-3m (No. 221); the cell edges are 6.1341, 6.1341 and 6.1341 Å and the angles 90.00°, 90.00° and 90.00°. The distinct sites, in fractional coordinates, are Cs at (0.0000, 0.0000, 0.0000), Ac at (0.5000, 0.5000, 0.5000) and Br at (0.0000, 0.5000, 0.5000).

Its energy is -3.63 eV per atom. The value obtained for the uncorrected formation energy is -1.635 eV per atom.